Compound: Pr3Mg3InGa2
Source: OQMD via LeMat-Bulk
Functional: GGA-PBE
Structure: optimized geometry

The space group is P-62m (No. 189) and the conventional cell measures 7.5711, 7.5711 and 4.6623 Å, with angles of 90.00, 90.00 and 120.00 degrees. The asymmetric unit holds Pr at (0.0000, 0.4343, 0.0000), Mg at (0.0000, 0.7522, 0.5000), In at (0.0000, 0.0000, 0.0000) and Ga at (0.3333, 0.6667, 0.5000).


Compound: Pr2SmMg3InGa2
Source: OQMD via LeMat-Bulk
Functional: GGA-PBE
Structure: optimized geometry

The space group is Amm2 (No. 38) and the conventional cell measures 4.652, 12.992 and 7.548 Å, with angles of 90.00, 90.00 and 90.00 degrees. The asymmetric unit holds Pr at (0.000, 0.218, 0.000), Sm at (0.000, 0.000, 0.348), Mg at (0.500, 0.000, 0.031), Mg at (0.500, 0.124, 0.657), In at (0.000, 0.000, 0.779) and Ga at (0.500, 0.165, 0.282).


Compound: Tb2PrMg3InGa2
Source: OQMD via LeMat-Bulk
Functional: GGA-PBE
Structure: optimized geometry

The space group is Amm2 (No. 38) and the conventional cell measures 4.599, 12.924 and 7.382 Å, with angles of 90.00, 90.00 and 90.00 degrees. The asymmetric unit holds Tb at (0.000, 0.218, 0.000), Pr at (0.000, 0.000, 0.655), Mg at (0.500, 0.000, 0.969), Mg at (0.500, 0.125, 0.341), In at (0.000, 0.000, 0.212) and Ga at (0.500, 0.170, 0.718).


Compound: TbPr2Mg3InGa2
Source: OQMD via LeMat-Bulk
Functional: GGA-PBE
Structure: optimized geometry

The space group is Amm2 (No. 38) and the conventional cell measures 4.639, 12.908 and 7.538 Å, with angles of 90.00, 90.00 and 90.00 degrees. The asymmetric unit holds Tb at (0.000, 0.000, 0.000), Pr at (0.000, 0.218, 0.653), Mg at (0.500, 0.000, 0.684), Mg at (0.500, 0.124, 0.309), In at (0.000, 0.000, 0.428) and Ga at (0.500, 0.163, 0.935).


no.,final energy (eV per atom),total moment (Bohr magnetons per cell)
1,-3.550,0.0
2,-3.545,0.0
3,-3.517,0.0
4,-3.533,0.0